A plane-wave DFT calculation with PBE-GGA was carried out for an optimized crystal structure of MgBeCr2.

Output
symmetry = R-3m, No. 166
N(E_F) = 1.230 states/eV per atom
DFT total energy = -5.57 eV per atom
total magnetic moment = 1.3 μB per cell

```
4
Lattice="8.767 -0.006 -0.003 8.382 2.568 -0.003 8.382 1.252 2.242" Properties=species:S:1:pos:R:3 pbc="T T T"
Cr 0.209 0.031 0.018
Cr 12.557 1.876 1.099
Mg 6.383 0.954 0.559
Be 19.149 2.861 1.676
```


A plane-wave DFT calculation with PBE-GGA was carried out for an optimized crystal structure of MgBeCr2.

Output
symmetry = P4mm, No. 99
N(E_F) = 0.785 states/eV per atom
DFT total energy = -5.92 eV per atom
total magnetic moment = 0.5 μB per cell

```
4
Lattice="-0.721 2.747 -0.787 -2.224 -0.030 1.933 3.739 2.224 4.337" Properties=species:S:1:pos:R:3 pbc="T T T"
Cr 0.019 0.011 0.022
Cr -0.775 1.773 1.382
Mg 1.928 1.147 2.236
Be 1.491 3.121 4.011
```


A plane-wave DFT calculation with PBE-GGA was carried out for an optimized crystal structure of MgBeCr2.

Output
symmetry = Cm, No. 8
N(E_F) = 0.500 states/eV per atom
DFT total energy = -5.72 eV per atom
total magnetic moment = 0.0 μB per cell

```
4
Lattice="4.333 -0.002 0.002 3.626 2.371 0.002 0.320 0.095 4.899" Properties=species:S:1:pos:R:3 pbc="T T T"
Cr 8.185 2.437 4.860
Cr 6.213 1.850 3.893
Mg 4.180 1.244 2.380
Be 2.120 0.631 1.127
```